Entry 1:
# AgTe3F

An optimized crystal structure of AgTe3F (PBEsol, Alexandria). Values from VASP.

Properties
Its space-group type is Pm-3m, No. 221. The formation energy from raw total energies comes out at 74 kJ/mol of formula units.

Geometry as Quantum ESPRESSO input:
```
&SYSTEM
  ibrav = 0, nat = 5, ntyp = 3
/
ATOMIC_SPECIES
Te 127.60 Te.upf
Ag 107.87 Ag.upf
F 19.00 F.upf
ATOMIC_POSITIONS crystal
Te 0.000 0.500 0.000
Te 0.000 0.000 0.500
Te 0.500 0.000 0.000
Ag 0.500 0.500 0.500
F 0.000 0.000 0.000
CELL_PARAMETERS angstrom
4.923 0.000 0.000
0.000 4.923 0.000
0.000 0.000 4.923
```

Entry 2:
# Al2TcMo

An optimized crystal structure of Al2TcMo (PBEsol, Alexandria). Values from VASP.

Properties
The value obtained for the energy relative to the elements is -0.0633 eV per atom. Its space-group type is I4/mmm, No. 139.

Geometry as Quantum ESPRESSO input:
```
&SYSTEM
  ibrav = 0, nat = 4, ntyp = 3
/
ATOMIC_SPECIES
Mo 95.94 Mo.upf
Tc 98.00 Tc.upf
Al 26.98 Al.upf
ATOMIC_POSITIONS crystal
Mo 0.500 0.500 0.000
Tc 0.000 0.000 0.000
Al 0.750 0.250 0.500
Al 0.250 0.750 0.500
CELL_PARAMETERS angstrom
-1.752 -2.968 1.582
1.374 -2.260 -2.718
3.463 1.886 2.828
```

Entry 3:
# SrSb2Au

An optimized crystal structure of SrSb2Au (PBEsol, Alexandria). Values from VASP.

Properties
Its space-group type is R3m, No. 160. The formation energy from raw total energies comes out at -149 kJ/mol of formula units.

Geometry as Quantum ESPRESSO input:
```
&SYSTEM
  ibrav = 0, nat = 4, ntyp = 3
/
ATOMIC_SPECIES
Au 196.97 Au.upf
Sb 121.76 Sb.upf
Sr 87.62 Sr.upf
ATOMIC_POSITIONS crystal
Au 0.284 0.284 0.147
Sb 0.988 0.988 0.036
Sb 0.720 0.720 0.839
Sr 0.508 0.508 0.477
CELL_PARAMETERS angstrom
-3.517 3.452 -0.578
-1.796 0.979 -4.520
-5.457 -2.165 -1.024
```

Entry 4:
# Sr2ZnAu2

An optimized crystal structure of Sr2ZnAu2 (PBEsol, Alexandria). Values from VASP.

Properties
The value obtained for the energy relative to the elements is -0.5148 eV per atom. Its space-group type is P4/mbm, No. 127.

Geometry as Quantum ESPRESSO input:
```
&SYSTEM
  ibrav = 0, nat = 10, ntyp = 3
/
ATOMIC_SPECIES
Sr 87.62 Sr.upf
Zn 65.41 Zn.upf
Au 196.97 Au.upf
ATOMIC_POSITIONS crystal
Sr 0.500 0.173 0.673
Sr 0.500 0.673 0.827
Sr 0.500 0.827 0.327
Sr 0.500 0.327 0.173
Zn 0.000 0.000 0.000
Zn 0.000 0.500 0.500
Au 0.000 0.369 0.869
Au 0.000 0.869 0.631
Au 0.000 0.631 0.131
Au 0.000 0.131 0.369
CELL_PARAMETERS angstrom
4.351 0.000 0.000
0.000 7.697 0.000
0.000 0.000 7.697
```

Entry 5:
# RbBeB2

An optimized crystal structure of RbBeB2 (PBEsol, Alexandria). Values from VASP.

Properties
The value obtained for the energy relative to the elements is 1.2002 eV per atom. Its space-group type is I4_1/amd, No. 141.

Geometry as Quantum ESPRESSO input:
```
&SYSTEM
  ibrav = 0, nat = 8, ntyp = 3
/
ATOMIC_SPECIES
Be 9.01 Be.upf
B 10.81 B.upf
Rb 85.47 Rb.upf
ATOMIC_POSITIONS crystal
Be 0.500 0.500 0.000
Be 0.750 0.250 0.500
B 0.625 0.375 0.750
B 0.125 0.375 0.750
B 0.625 0.875 0.250
B 0.625 0.375 0.250
Rb 0.000 0.000 0.000
Rb 0.250 0.750 0.500
CELL_PARAMETERS angstrom
-1.011 4.151 -2.233
1.276 -1.957 -4.217
-5.509 -2.845 2.409
```

Entry 6:
# ZrNbW3

An optimized crystal structure of ZrNbW3 (PBEsol, Alexandria). Values from VASP.

Properties
The value obtained for the energy relative to the elements is 2.4706 eV per atom. Its space-group type is Pm-3m, No. 221.

Geometry as Quantum ESPRESSO input:
```
&SYSTEM
  ibrav = 0, nat = 5, ntyp = 3
/
ATOMIC_SPECIES
Nb 92.91 Nb.upf
Zr 91.22 Zr.upf
W 183.84 W.upf
ATOMIC_POSITIONS crystal
Nb 0.500 0.500 0.500
Zr 0.000 0.000 0.000
W 0.000 0.500 0.000
W 0.000 0.000 0.500
W 0.500 0.000 0.000
CELL_PARAMETERS angstrom
4.660 0.000 0.000
0.000 4.660 0.000
0.000 0.000 4.660
```

Which formula does entry 6 have?
ZrNbW3

Number 4 is which compound?
Sr2ZnAu2